# 1
# CdSiTeMo

CdSiTeMo after structural relaxation (GGA-PBE, Alexandria via LeMat-Bulk).

The structure in CIF format:
```
data_CdSiTeMo
_chemical_formula_sum 'Cd1 Si1 Te1 Mo1'
_symmetry_space_group_name_H-M 'P 1 m 1'
_symmetry_Int_Tables_number 6
_cell_length_a 3.247
_cell_length_b 3.247
_cell_length_c 8.347
_cell_angle_alpha 90.00
_cell_angle_beta 90.80
_cell_angle_gamma 90.00
loop_
_symmetry_equiv_pos_as_xyz
'x,y,z'
'x,-y,z'
loop_
_atom_site_label
_atom_site_type_symbol
_atom_site_fract_x
_atom_site_fract_y
_atom_site_fract_z
Cd1 Cd 0.000 0.000 0.000
Si1 Si 0.505 0.500 0.231
Te1 Te 0.517 0.500 0.582
Mo1 Mo 0.010 0.000 0.379
```

Computed properties:
ΔE_f (raw): 0.4 eV per formula unit

---

# 2
# CdSiTeMo

CdSiTeMo after structural relaxation (GGA-PBE, Alexandria via LeMat-Bulk).

The structure in CIF format:
```
data_CdSiTeMo
_chemical_formula_sum 'Cd2 Si2 Te2 Mo2'
_symmetry_space_group_name_H-M 'I 4 m m'
_symmetry_Int_Tables_number 107
_symmetry_space_group_name_Hall 'I 4 -2'
_cell_length_a 3.345
_cell_length_b 3.345
_cell_length_c 15.580
_cell_angle_alpha 90.00
_cell_angle_beta 90.00
_cell_angle_gamma 90.00
loop_
_atom_site_label
_atom_site_type_symbol
_atom_site_fract_x
_atom_site_fract_y
_atom_site_fract_z
Cd1 Cd 0.000 0.000 0.000
Si1 Si 0.000 0.000 0.176
Te1 Te 0.000 0.000 0.800
Mo1 Mo 0.000 0.000 0.626
```

Computed properties:
ΔE_f (raw): 0.4 eV per formula unit

---

# 3
# V2CdSiMo

V2CdSiMo after structural relaxation (GGA-PBE, Alexandria via LeMat-Bulk).

The structure in CIF format:
```
data_V2CdSiMo
_chemical_formula_sum 'V2 Cd1 Si1 Mo1'
_symmetry_space_group_name_H-M 'P 4/m m m'
_symmetry_Int_Tables_number 123
_symmetry_space_group_name_Hall '-P 4 2'
_cell_length_a 4.699
_cell_length_b 4.699
_cell_length_c 4.723
_cell_angle_alpha 90.00
_cell_angle_beta 90.00
_cell_angle_gamma 90.00
loop_
_atom_site_label
_atom_site_type_symbol
_atom_site_fract_x
_atom_site_fract_y
_atom_site_fract_z
V1 V 0.000 0.500 0.000
Cd1 Cd 0.000 0.000 0.500
Si1 Si 0.500 0.500 0.500
Mo1 Mo 0.500 0.500 0.000
```

Computed properties:
ΔE_f (raw): 5.0 eV per formula unit

---

# 4
# Cd2SnMo

Cd2SnMo after structural relaxation (GGA-PBE, Alexandria via LeMat-Bulk).

The structure in CIF format:
```
data_Cd2SnMo
_chemical_formula_sum 'Cd8 Sn4 Mo4'
_symmetry_space_group_name_H-M 'I -4 2 d'
_symmetry_Int_Tables_number 122
_symmetry_space_group_name_Hall 'I -4 2bw'
_cell_length_a 7.994
_cell_length_b 7.994
_cell_length_c 5.559
_cell_angle_alpha 90.00
_cell_angle_beta 90.00
_cell_angle_gamma 90.00
loop_
_atom_site_label
_atom_site_type_symbol
_atom_site_fract_x
_atom_site_fract_y
_atom_site_fract_z
Cd1 Cd 0.234 0.250 0.125
Sn1 Sn 0.000 0.000 0.500
Mo1 Mo 0.000 0.000 0.000
```

Computed properties:
formation enthalpy at 0 K: 0.630 eV/atom

---

Going through the records in order, we get magnetic moment values of 0.00; 0.00; 3.10; 0.00 μB per formula unit.
Going through the records in order, we get energy values of -4.969; -4.975; -6.088; -3.536 eV/atom.